A plane-wave DFT calculation with PBE with a Hubbard U was carried out for a relaxed structure of Li6MnFe5B6O18.

Summary:
Uncorrected energy (eV/atom): -6.92
Size of the total moment (Bohr magnetons per cell): 23.00
Offset from the most stable computed form (eV per atom): 0.057

Unit cell a=8.2209 b=3.1342 c=14.2282 alpha=90.00 beta=90.17 gamma=90.00
Sites, in units of the cell vectors:
Li  0.0000  0.0000  0.0000
Li  0.0226  0.0000  0.7105
Li  0.0776  0.0000  0.3407
Li  0.4987  0.0000  0.4992
Li  0.5231  0.0000  0.2099
Li  0.5780  0.0000  0.8411
Mn  0.6900  0.5000  0.6581
Fe  0.1773  0.5000  0.5317
Fe  0.1902  0.5000  0.1595
Fe  0.2325  0.5000  0.8543
Fe  0.6783  0.5000  0.0313
Fe  0.7319  0.5000  0.3538
B  0.3638  0.5000  0.3500
B  0.3646  0.0000  0.6843
B  0.3678  0.0000  0.0162
B  0.8648  0.0000  0.1844
B  0.8648  0.5000  0.8509
B  0.8667  0.0000  0.5156
O  0.0063  0.5000  0.7966
O  0.0156  0.0000  0.1404
O  0.0214  0.0000  0.4771
O  0.2131  0.5000  0.3068
O  0.2229  0.0000  0.6310
O  0.2296  0.0000  0.9596
O  0.3505  0.0000  0.1143
O  0.3568  0.0000  0.7816
O  0.3766  0.5000  0.4480
O  0.5058  0.5000  0.2963
O  0.5149  0.0000  0.6397
O  0.5221  0.0000  0.9771
O  0.7137  0.5000  0.8084
O  0.7234  0.0000  0.1310
O  0.7288  0.0000  0.4591
O  0.8489  0.0000  0.6140
O  0.8564  0.0000  0.2818
O  0.8790  0.5000  0.9488